# 1
# ReTcP PBE optimized geometry
data_ReTcP
_cell_length_a 2.8281
_cell_length_b 2.8281
_cell_length_c 6.0162
_cell_angle_alpha 90.00
_cell_angle_beta 90.00
_cell_angle_gamma 120.00
_symmetry_space_group_name_H-M 'P 3 m 1'
_symmetry_Int_Tables_number 156
_symmetry_space_group_name_Hall 'P 3 -2"'
loop_
_atom_site_label
_atom_site_fract_x
_atom_site_fract_y
_atom_site_fract_z
Re1 0.0000 0.0000 0.0000
Tc1 0.6667 0.3333 0.3668
P1 0.3333 0.6667 0.6811
# **Fermi-level density of states**: 3.3 states/eV/f.u.
# **Final energy**: -9.44 eV/atom



# 2
# Sr3LaIn4 PBE optimized geometry
data_Sr3LaIn4
_cell_length_a 4.016
_cell_length_b 4.016
_cell_length_c 16.357
_cell_angle_alpha 90.00
_cell_angle_beta 90.00
_cell_angle_gamma 90.00
_symmetry_space_group_name_H-M 'P 4/m m m'
_symmetry_Int_Tables_number 123
_symmetry_space_group_name_Hall '-P 4 2'
loop_
_atom_site_label
_atom_site_fract_x
_atom_site_fract_y
_atom_site_fract_z
Sr1 0.000 0.000 0.000
Sr2 0.000 0.000 0.252
La1 0.000 0.000 0.500
In1 0.500 0.500 0.126
In2 0.500 0.500 0.381
# **Fermi-level density of states**: 7.0 states/eV/f.u.
# **Final energy**: -3.06 eV/atom



# 3
# HgAsW4 PBE optimized geometry
data_HgAsW4
_cell_length_a 7.603
_cell_length_b 7.603
_cell_length_c 7.603
_cell_angle_alpha 90.00
_cell_angle_beta 90.00
_cell_angle_gamma 90.00
_symmetry_space_group_name_H-M 'F -4 3 m'
_symmetry_Int_Tables_number 216
_symmetry_space_group_name_Hall 'F -4 2 3'
loop_
_atom_site_label
_atom_site_fract_x
_atom_site_fract_y
_atom_site_fract_z
Hg1 0.000 0.000 0.000
As1 0.250 0.250 0.250
W1 0.127 0.127 0.627
# **Fermi-level density of states**: 6.2 states/eV/f.u.
# **Final energy**: -8.57 eV/atom



Please write out number 3 again, unchanged.
# HgAsW4 PBE optimized geometry
data_HgAsW4
_cell_length_a 7.603
_cell_length_b 7.603
_cell_length_c 7.603
_cell_angle_alpha 90.00
_cell_angle_beta 90.00
_cell_angle_gamma 90.00
_symmetry_space_group_name_H-M 'F -4 3 m'
_symmetry_Int_Tables_number 216
_symmetry_space_group_name_Hall 'F -4 2 3'
loop_
_atom_site_label
_atom_site_fract_x
_atom_site_fract_y
_atom_site_fract_z
Hg1 0.000 0.000 0.000
As1 0.250 0.250 0.250
W1 0.127 0.127 0.627
# **Fermi-level density of states**: 6.2 states/eV/f.u.
# **Final energy**: -8.57 eV/atom



Copy entry 1 word for word.
# ReTcP PBE optimized geometry
data_ReTcP
_cell_length_a 2.8281
_cell_length_b 2.8281
_cell_length_c 6.0162
_cell_angle_alpha 90.00
_cell_angle_beta 90.00
_cell_angle_gamma 120.00
_symmetry_space_group_name_H-M 'P 3 m 1'
_symmetry_Int_Tables_number 156
_symmetry_space_group_name_Hall 'P 3 -2"'
loop_
_atom_site_label
_atom_site_fract_x
_atom_site_fract_y
_atom_site_fract_z
Re1 0.0000 0.0000 0.0000
Tc1 0.6667 0.3333 0.3668
P1 0.3333 0.6667 0.6811
# **Fermi-level density of states**: 3.3 states/eV/f.u.
# **Final energy**: -9.44 eV/atom